{
  "formula": "Tl2Pt2Au",
  "functional": "PBE",
  "state": "relaxed",
  "rho_g_cm3": 14.711,
  "volume_a3_per_atom": 22.483,
  "formation_energy_kj_per_mol_atoms": 12,
  "relative_energy_mev_per_atom": 116,
  "space_group": "No. 139",
  "cell": [[-0.801, 1.851, -3.167], [-2.871, -2.334, -0.638], [-6.684, 4.611, 2.160]],
  "species": ["Tl", "Tl", "Au", "Pt", "Pt"],
  "frac_coords": [[0.393, 0.393, 0.213], [0.607, 0.607, 0.787], [0.000, 0.000, 0.000], [0.750, 0.250, 0.500], [0.250, 0.750, 0.500]]
}